Computed, not measured: a relaxed structure of MnZnO2 at the GGA+U level of DFT.

Structure (extended XYZ):
```
16
Lattice="-1.4978 -6.9891 -3.8286 -0.9082 -7.9876 -1.0592 -8.5934 -4.8561 0.0784" Properties=species:S:1:pos:R:3 pbc="T T T"
O -4.0516 -5.1606 -0.9982
O -6.9478 -14.6722 -3.8112
O -1.9029 -3.0813 -0.7059
O -7.5479 -11.6218 -2.5836
O -3.4515 -8.2110 -2.2258
O -9.0965 -16.7515 -4.1034
O -2.9266 -13.2691 -4.1613
O -8.0728 -6.5637 -0.6481
Mn -1.9447 -9.5792 -3.0399
Mn -4.8223 -14.2002 -4.0934
Mn -6.1771 -5.6326 -0.7159
Mn -9.0547 -10.2536 -1.7695
Zn -5.7113 -16.6566 -4.7899
Zn -5.2881 -3.1762 -0.0195
Zn -6.8976 -8.1114 -1.4563
Zn -4.1019 -11.7214 -3.3530
```

Calculated values
total energy	-95.4	eV per cell
SG	C2/m (12)
DOS(E_F)	3.420	states/eV/cell
total magnetization	18.32	μB per cell